BaGa2W (PBE, optimized geometry); energy relative to the lowest polymorph listed for this composition = 0 meV per atom; E = -4.714 eV/atom; N(E_F) = 3.7 states/eV/f.u.; DFT formation energy = 0.518 eV/atom; calculated density = 6.24 g/cm3
1.0
5.325 0.000 0.000
0.000 5.325 0.000
2.663 2.663 8.646
Ga Ba W
4 2 2
Cartesian
5.321 1.331 2.161
5.330 3.994 2.161
3.994 2.667 6.484
6.657 2.658 6.484
2.663 2.663 0.000
2.663 5.325 4.323
0.000 0.000 0.000
5.325 2.663 4.323